An optimized crystal structure of HfFeNiSn. Source: OQMD via LeMat-Bulk, functional PBE-GGA.

a = 4.5212 Å, b = 4.5212 Å, c = 4.5212 Å
α = 60.00°, β = 60.00°, γ = 60.00°
Fractional coordinates of all 4 atoms:
1 Fe 0.7500 0.7500 0.7500
2 Sn 0.0000 0.0000 0.0000
3 Hf 0.2500 0.2500 0.2500
4 Ni 0.5000 0.5000 0.5000

Summary:
Energy above the most stable polymorph in this dataset in eV/atom: 0.353
Mass density in g cm⁻³: 10.46
SG: F-43m, No. 216
Total DFT energy (no corrections) in Ry/atom: -0.509
M_tot in μB per atom: 0.591



An optimized crystal structure of Cd2SeS. Source: OQMD via LeMat-Bulk, functional PBE-GGA.

a = 4.2867 Å, b = 4.2867 Å, c = 6.0635 Å
α = 90.00°, β = 90.00°, γ = 90.00°
Fractional coordinates of all 4 atoms:
1 Se 0.5000 0.5000 0.5000
2 Cd 0.0000 0.5000 0.7620
3 Cd 0.5000 0.0000 0.2380
4 S 0.0000 0.0000 0.0000

Summary:
Energy above the most stable polymorph in this dataset in eV/atom: 0.000
Mass density in g cm⁻³: 5.01
SG: P-4m2, No. 115
Total DFT energy (no corrections) in Ry/atom: -0.220



An optimized crystal structure of KAgMoS3. Source: OQMD via LeMat-Bulk, functional PBE-GGA.

a = 7.4389 Å, b = 7.4389 Å, c = 9.8596 Å
α = 90.00°, β = 90.00°, γ = 29.41°
Last column: magnetic moment on the atom in μB.
Fractional coordinates of all 12 atoms:
1 S 0.6156 0.6156 0.9759  -0.02
2 S 0.9348 0.9348 0.7500  -0.04
3 S 0.0652 0.0652 0.2500  -0.04
4 S 0.3844 0.3844 0.0241  -0.02
5 S 0.3844 0.3844 0.4759  -0.02
6 S 0.6156 0.6156 0.5241  -0.02
7 Mo 0.0000 0.0000 0.5000  1.83
8 Mo 0.0000 0.0000 0.0000  1.82
9 K 0.2538 0.2538 0.7500  0.00
10 K 0.7462 0.7462 0.2500  0.00
11 Ag 0.4489 0.4489 0.2500  0.01
12 Ag 0.5511 0.5511 0.7500  0.01

Summary:
Mass density in g cm⁻³: 4.20
SG: Cmcm, No. 63
Total DFT energy (no corrections) in Ry/atom: -0.365
M_tot in μB per atom: 0.333



Q: Among the records above, which one has the highest total DFT energy (no corrections)?
A: Cd2SeS